Here is HgGe after structural relaxation from Alexandria via LeMat-Bulk. Energies are from PBE.

```
data_HgGe
_space_group_name_H-M_alt 'P m -3 n'
_space_group_IT_number 223
_space_group_name_Hall '-P 4n 2 3'
_cell_length_a 7.5934
_cell_length_b 7.5934
_cell_length_c 7.5934
_cell_angle_alpha 90.00
_cell_angle_beta 90.00
_cell_angle_gamma 90.00
loop_
_atom_site_label
_atom_site_fract_x
_atom_site_fract_y
_atom_site_fract_z
Hg1 0.0000 0.2500 0.5000
Ge1 0.0000 0.5000 0.2500
```

The value obtained for the energy above the most stable polymorph in this dataset is 0.73 eV/f.u. The total moment is 0.00 Bohr magnetons per cell. The energy relative to the elements is 516 meV per atom. The volume is 437.8 Å³ per cell. Its density of states at the Fermi level is 4.385 states/eV per cell.